Sr3HoU2P6 | PBE | optimized geometry

Properties
* uncorrected energy: -6.528 eV per atom
* E_form: -1140 meV per atom
* magnetization: 2.99 μB per cell

a b c (Å): 7.136 7.136 7.319
angles (deg): 99.35 99.35 119.99
Sites, in units of the cell vectors:
Sr 0.000 0.000 0.000
Sr 0.335 0.665 0.000
Sr 0.665 0.335 0.000
Ho 0.500 0.500 0.500
U 0.167 0.833 0.500
U 0.833 0.167 0.500
P 0.086 0.429 0.287
P 0.229 0.229 0.713
P 0.429 0.086 0.287
P 0.571 0.914 0.713
P 0.771 0.771 0.287
P 0.914 0.571 0.713

Sr3Ho2UP6 | PBE | optimized geometry

Properties
* uncorrected energy: -6.073 eV per atom
* E_form: -1244 meV per atom
* magnetization: 0.00 μB per cell

a b c (Å): 7.116 7.116 7.337
angles (deg): 99.31 99.31 120.02
Sites, in units of the cell vectors:
Sr 0.000 0.000 0.000
Sr 0.330 0.670 0.000
Sr 0.670 0.330 0.000
Ho 0.166 0.834 0.500
Ho 0.834 0.166 0.500
U 0.500 0.500 0.500
P 0.111 0.429 0.286
P 0.255 0.255 0.714
P 0.429 0.111 0.286
P 0.571 0.889 0.714
P 0.745 0.745 0.286
P 0.889 0.571 0.714